Below is a geometry-optimized Cu2IrS structure, with properties calculated at the GGA-PBE level. Values from VASP.

Summary:
ΔE_f (raw): 0.34 eV/atom
symmetry: No. 122
DFT total energy: -39.67 eV/cell

Geometry as Quantum ESPRESSO input:
```
&SYSTEM
  ibrav = 0, nat = 8, ntyp = 3
/
ATOMIC_SPECIES
Cu 63.55 Cu.upf
Ir 192.22 Ir.upf
S 32.06 S.upf
CELL_PARAMETERS angstrom
-3.4691 3.4691 2.3300
3.4691 -3.4691 2.3300
3.4691 3.4691 -2.3300
ATOMIC_POSITIONS angstrom
Cu 5.2037 1.4613 -0.5825
Cu 1.4613 1.7346 0.5825
Cu -1.7346 2.0078 1.7475
Cu 2.0078 1.7346 2.9126
Ir 3.4691 0.0000 1.1650
Ir 0.0000 0.0000 2.3300
S 0.0000 0.0000 0.0000
S 0.0000 3.4691 1.1650
```


Below is a geometry-optimized CsKPd3 structure, with properties calculated at the GGA-PBE level. Values from VASP.

Summary:
ΔE_f: 4.4 eV per formula unit
symmetry: No. 221
DFT total energy: -13.09 eV/cell

Geometry as Quantum ESPRESSO input:
```
&SYSTEM
  ibrav = 0, nat = 5, ntyp = 3
/
ATOMIC_SPECIES
Cs 132.91 Cs.upf
K 39.10 K.upf
Pd 106.42 Pd.upf
CELL_PARAMETERS angstrom
5.4340 0.0000 0.0000
0.0000 5.4340 0.0000
0.0000 0.0000 5.4340
ATOMIC_POSITIONS angstrom
Cs 0.0000 0.0000 0.0000
K 2.7170 2.7170 2.7170
Pd 0.0000 2.7170 2.7170
Pd 2.7170 0.0000 2.7170
Pd 2.7170 2.7170 0.0000
```


Below is a geometry-optimized CaMg2P structure, with properties calculated at the GGA-PBE level. Values from VASP.

Summary:
ΔE_f: -1.4 eV per formula unit
symmetry: No. 123
DFT total energy: -12.01 eV/cell

Geometry as Quantum ESPRESSO input:
```
&SYSTEM
  ibrav = 0, nat = 4, ntyp = 3
/
ATOMIC_SPECIES
Ca 40.08 Ca.upf
Mg 24.30 Mg.upf
P 30.97 P.upf
CELL_PARAMETERS angstrom
4.2216 0.0000 0.0000
0.0000 4.2216 0.0000
0.0000 0.0000 4.9232
ATOMIC_POSITIONS angstrom
Ca 0.0000 0.0000 0.0000
Mg 0.0000 2.1108 2.4616
Mg 2.1108 0.0000 2.4616
P 2.1108 2.1108 0.0000
```


Below is a geometry-optimized RbTb2Gd structure, with properties calculated at the GGA-PBE level. Values from VASP.

Summary:
ΔE_f: 1.2 eV per formula unit
symmetry: No. 166
DFT total energy: -23.10 eV/cell

Geometry as Quantum ESPRESSO input:
```
&SYSTEM
  ibrav = 0, nat = 4, ntyp = 3
/
ATOMIC_SPECIES
Rb 85.47 Rb.upf
Tb 158.93 Tb.upf
Gd 157.25 Gd.upf
CELL_PARAMETERS angstrom
1.8136 1.0471 13.3166
-1.8136 1.0471 13.3166
0.0000 -2.0942 13.3166
ATOMIC_POSITIONS angstrom
Rb 0.0000 0.0000 0.0000
Tb 0.0000 0.0000 3.8227
Tb 0.0000 0.0000 36.1271
Gd 0.0000 0.0000 19.9749
```


Below is a geometry-optimized K2InSb structure, with properties calculated at the GGA-PBE level. Values from VASP.

Summary:
ΔE_f (raw): -0.24 eV/atom
symmetry: No. 160
DFT total energy: -10.00 eV/cell

Geometry as Quantum ESPRESSO input:
```
&SYSTEM
  ibrav = 0, nat = 4, ntyp = 3
/
ATOMIC_SPECIES
K 39.10 K.upf
In 114.82 In.upf
Sb 121.76 Sb.upf
CELL_PARAMETERS angstrom
2.3930 1.3816 9.3616
-2.3930 1.3816 9.3616
0.0000 -2.7632 9.3616
ATOMIC_POSITIONS angstrom
K 0.0000 0.0000 0.0000
K 0.0000 0.0000 5.3221
In 0.0000 0.0000 12.6040
Sb 0.0000 0.0000 20.7935
```


Below is a geometry-optimized K2HfNp2S6 structure, with properties calculated at the GGA-PBE level. Values from VASP.

Summary:
ΔE_f (raw): -1.46 eV/atom
symmetry: No. 12
DFT total energy: -78.84 eV/cell

Geometry as Quantum ESPRESSO input:
```
&SYSTEM
  ibrav = 0, nat = 11, ntyp = 4
/
ATOMIC_SPECIES
K 39.10 K.upf
Hf 178.49 Hf.upf
Np 237.00 Np.upf
S 32.06 S.upf
CELL_PARAMETERS angstrom
3.4171 -5.8598 0.0000
3.4171 5.8598 0.0000
-2.2791 0.0000 7.5389
ATOMIC_POSITIONS angstrom
K 3.4171 3.8817 0.0000
K 3.4171 -3.8817 0.0000
Hf -1.1395 0.0000 3.7695
Np 2.2775 1.9436 3.7695
Np 2.2775 -1.9436 3.7695
S -0.0588 1.8528 5.2286
S 0.9902 0.0000 2.3080
S -0.0588 -1.8528 5.2286
S 4.6139 1.8528 2.3103
S 3.5649 0.0000 5.2310
S 4.6139 -1.8528 2.3103
```


Below is a geometry-optimized PmYReO6 structure, with properties calculated at the GGA-PBE level. Values from VASP.

Summary:
ΔE_f (raw): -2.60 eV/atom
symmetry: No. 163
DFT total energy: -153.57 eV/cell

Geometry as Quantum ESPRESSO input:
```
&SYSTEM
  ibrav = 0, nat = 18, ntyp = 4
/
ATOMIC_SPECIES
Pm 145.00 Pm.upf
Y 88.91 Y.upf
Re 186.21 Re.upf
O 16.00 O.upf
CELL_PARAMETERS angstrom
5.5357 0.0000 0.0000
-2.7679 4.7941 0.0000
0.0000 0.0000 9.8221
ATOMIC_POSITIONS angstrom
Pm 0.0000 0.0000 0.0000
Pm 0.0000 0.0000 4.9111
Y 0.0000 3.1960 2.4555
Y 2.7679 1.5980 7.3666
Re 0.0000 3.1960 7.3666
Re 2.7679 1.5980 2.4555
O -0.7918 1.7975 6.2709
O -1.6070 3.2096 8.4623
O 0.7918 1.7975 8.4623
O -0.8153 4.5810 6.2709
O 1.9526 0.2131 1.3598
O 1.1608 1.5845 3.5513
O 1.6070 3.2096 6.2709
O 0.8153 4.5810 8.4623
O 3.5831 0.2131 3.5513
O 1.9761 2.9965 1.3598
O 4.3749 1.5845 1.3598
O 3.5596 2.9965 3.5513
```


Below is a geometry-optimized Cs3PrHo2Se6 structure, with properties calculated at the GGA-PBE level. Values from VASP.

Summary:
ΔE_f (raw): -1.72 eV/atom
symmetry: No. 12
DFT total energy: -58.05 eV/cell

Geometry as Quantum ESPRESSO input:
```
&SYSTEM
  ibrav = 0, nat = 12, ntyp = 4
/
ATOMIC_SPECIES
Cs 132.91 Cs.upf
Pr 140.91 Pr.upf
Ho 164.93 Ho.upf
Se 78.96 Se.upf
CELL_PARAMETERS angstrom
3.7351 -6.4694 0.0000
3.7351 6.4694 0.0000
-2.4919 0.0000 8.3872
ATOMIC_POSITIONS angstrom
Cs 0.0000 0.0000 0.0000
Cs 3.7351 2.1275 0.0000
Cs 3.7351 -2.1275 0.0000
Pr 2.4891 0.0000 4.1936
Ho 2.4891 4.3107 4.1936
Ho 2.4891 -4.3107 4.1936
Se 1.2041 2.2259 2.6241
Se -0.0812 0.0000 5.7549
Se 1.2041 -2.2259 2.6241
Se 3.7741 2.2259 5.7631
Se 5.0594 0.0000 2.6322
Se 3.7741 -2.2259 5.7631
```


> Which of these has the highest DFT total energy?

K2InSb


> The highest DFT total energy belongs to which entry?

K2InSb


Please write out number 1 again, unchanged.
Below is a geometry-optimized Cu2IrS structure, with properties calculated at the GGA-PBE level. Values from VASP.

Summary:
ΔE_f (raw): 0.34 eV/atom
symmetry: No. 122
DFT total energy: -39.67 eV/cell

Geometry as Quantum ESPRESSO input:
```
&SYSTEM
  ibrav = 0, nat = 8, ntyp = 3
/
ATOMIC_SPECIES
Cu 63.55 Cu.upf
Ir 192.22 Ir.upf
S 32.06 S.upf
CELL_PARAMETERS angstrom
-3.4691 3.4691 2.3300
3.4691 -3.4691 2.3300
3.4691 3.4691 -2.3300
ATOMIC_POSITIONS angstrom
Cu 5.2037 1.4613 -0.5825
Cu 1.4613 1.7346 0.5825
Cu -1.7346 2.0078 1.7475
Cu 2.0078 1.7346 2.9126
Ir 3.4691 0.0000 1.1650
Ir 0.0000 0.0000 2.3300
S 0.0000 0.0000 0.0000
S 0.0000 3.4691 1.1650
```